Density functional theory data (GGA-PBE) for a geometry-optimized HfCr2MoAs structure.

## Properties
Energy of formation: 1.0095 eV per atom
Raw total energy: -7.927 eV per atom

```
data_HfCr2MoAs
_cell_length_a 4.312
_cell_length_b 4.312
_cell_length_c 4.887
_cell_angle_alpha 90.00
_cell_angle_beta 90.00
_cell_angle_gamma 90.00
_space_group_name_H-M_alt 'P 1'
_space_group_IT_number 1
loop_
_space_group_symop_operation_xyz
'x,y,z'
loop_
_atom_site_label
_atom_site_fract_x
_atom_site_fract_y
_atom_site_fract_z
Hf1 0.000 0.000 0.000
Cr1 0.000 0.500 0.500
Cr2 0.500 0.000 0.500
Mo1 0.500 0.500 0.000
As1 0.000 0.000 0.500
```

---

Density functional theory data (GGA-PBE) for a geometry-optimized Mn2MoRh structure.

## Properties
Energy of formation: 0.2022 eV per atom
Raw total energy: -8.928 eV per atom

```
data_Mn2MoRh
_cell_length_a 2.760
_cell_length_b 2.760
_cell_length_c 25.630
_cell_angle_alpha 90.00
_cell_angle_beta 90.00
_cell_angle_gamma 120.00
_space_group_name_H-M_alt 'P 1'
_space_group_IT_number 1
loop_
_space_group_symop_operation_xyz
'x,y,z'
loop_
_atom_site_label
_atom_site_fract_x
_atom_site_fract_y
_atom_site_fract_z
Mn1 0.000 0.000 0.248
Mn2 0.000 0.000 0.752
Mn3 0.333 0.667 0.418
Mn4 0.333 0.667 0.915
Mn5 0.667 0.333 0.085
Mn6 0.667 0.333 0.582
Mo1 0.000 0.000 0.000
Mo2 0.333 0.667 0.667
Mo3 0.667 0.333 0.333
Rh1 0.000 0.000 0.500
Rh2 0.333 0.667 0.167
Rh3 0.667 0.333 0.833
```

---

Density functional theory data (GGA-PBE) for a geometry-optimized Re2OsBr structure.

## Properties
Energy relative to the lowest polymorph listed for this composition: 0.629 eV per atom
Formation energy without anion corrections: 1.3348 eV/atom
Raw total energy: -8.115 eV per atom

```
data_Re2OsBr
_cell_length_a 6.320
_cell_length_b 6.320
_cell_length_c 6.320
_cell_angle_alpha 90.00
_cell_angle_beta 90.00
_cell_angle_gamma 90.00
_space_group_name_H-M_alt 'P 1'
_space_group_IT_number 1
loop_
_space_group_symop_operation_xyz
'x,y,z'
loop_
_atom_site_label
_atom_site_fract_x
_atom_site_fract_y
_atom_site_fract_z
Re1 0.000 0.000 0.000
Re2 0.000 0.500 0.500
Re3 0.250 0.250 0.250
Re4 0.250 0.750 0.750
Re5 0.500 0.000 0.500
Re6 0.500 0.500 0.000
Re7 0.750 0.250 0.750
Re8 0.750 0.750 0.250
Os1 0.250 0.250 0.750
Os2 0.250 0.750 0.250
Os3 0.750 0.250 0.250
Os4 0.750 0.750 0.750
Br1 0.000 0.000 0.500
Br2 0.000 0.500 0.000
Br3 0.500 0.000 0.000
Br4 0.500 0.500 0.500
```

---

Density functional theory data (GGA-PBE) for a geometry-optimized In2MoIr structure.

## Properties
Energy relative to the lowest polymorph listed for this composition: 0.392 eV per atom
Energy of formation: 0.3885 eV per atom
Raw total energy: -5.904 eV per atom

```
data_In2MoIr
_cell_length_a 4.167
_cell_length_b 4.167
_cell_length_c 8.286
_cell_angle_alpha 90.00
_cell_angle_beta 90.00
_cell_angle_gamma 90.00
_space_group_name_H-M_alt 'P 1'
_space_group_IT_number 1
loop_
_space_group_symop_operation_xyz
'x,y,z'
loop_
_atom_site_label
_atom_site_fract_x
_atom_site_fract_y
_atom_site_fract_z
In1 0.000 0.500 0.250
In2 0.000 0.500 0.750
In3 0.500 0.000 0.250
In4 0.500 0.000 0.750
Mo1 0.000 0.000 0.000
Mo2 0.500 0.500 0.500
Ir1 0.000 0.000 0.500
Ir2 0.500 0.500 0.000
```

---

Density functional theory data (GGA-PBE) for a geometry-optimized CoNi2Rh2 structure.

## Properties
Energy relative to the lowest polymorph listed for this composition: 0.024 eV per atom
Energy of formation: 0.1727 eV per atom
Raw total energy: -6.502 eV per atom

```
data_CoNi2Rh2
_cell_length_a 8.541
_cell_length_b 2.619
_cell_length_c 6.025
_cell_angle_alpha 90.00
_cell_angle_beta 106.13
_cell_angle_gamma 90.00
_space_group_name_H-M_alt 'P 1'
_space_group_IT_number 1
loop_
_space_group_symop_operation_xyz
'x,y,z'
loop_
_atom_site_label
_atom_site_fract_x
_atom_site_fract_y
_atom_site_fract_z
Co1 0.000 0.000 0.000
Co2 0.500 0.500 0.000
Ni1 0.119 0.500 0.380
Ni2 0.381 0.000 0.620
Ni3 0.619 0.000 0.380
Ni4 0.881 0.500 0.620
Rh1 0.186 0.500 0.806
Rh2 0.314 0.000 0.194
Rh3 0.686 0.000 0.806
Rh4 0.814 0.500 0.194
```

---

Density functional theory data (GGA-PBE) for a geometry-optimized KCa2InS4 structure.

## Properties
Formation energy without anion corrections: -1.3795 eV/atom
Raw total energy: -4.423 eV per atom

```
data_KCa2InS4
_cell_length_a 8.154
_cell_length_b 8.154
_cell_length_c 8.154
_cell_angle_alpha 120.03
_cell_angle_beta 118.79
_cell_angle_gamma 91.03
_space_group_name_H-M_alt 'P 1'
_space_group_IT_number 1
loop_
_space_group_symop_operation_xyz
'x,y,z'
loop_
_atom_site_label
_atom_site_fract_x
_atom_site_fract_y
_atom_site_fract_z
K1 0.500 0.000 0.000
K2 0.500 0.500 0.500
Ca1 0.000 0.000 0.000
Ca2 0.000 0.000 0.500
Ca3 0.000 0.500 0.000
Ca4 0.500 0.000 0.500
In1 0.000 0.500 0.500
In2 0.500 0.500 0.000
S1 0.205 0.724 0.481
S2 0.242 0.237 0.496
S3 0.242 0.746 0.004
S4 0.257 0.276 0.981
S5 0.743 0.724 0.019
S6 0.758 0.254 0.996
S7 0.758 0.763 0.504
S8 0.795 0.276 0.519
```

---

Density functional theory data (GGA-PBE) for a geometry-optimized CoSiOs2 structure.

## Properties
Formation energy without anion corrections: -0.0158 eV/atom
Raw total energy: -8.763 eV per atom

```
data_CoSiOs2
_cell_length_a 3.706
_cell_length_b 3.706
_cell_length_c 7.486
_cell_angle_alpha 90.00
_cell_angle_beta 90.00
_cell_angle_gamma 90.00
_space_group_name_H-M_alt 'P 1'
_space_group_IT_number 1
loop_
_space_group_symop_operation_xyz
'x,y,z'
loop_
_atom_site_label
_atom_site_fract_x
_atom_site_fract_y
_atom_site_fract_z
Co1 0.000 0.000 0.000
Co2 0.500 0.500 0.500
Si1 0.000 0.500 0.250
Si2 0.500 0.000 0.750
Os1 0.000 0.000 0.500
Os2 0.000 0.500 0.750
Os3 0.500 0.000 0.250
Os4 0.500 0.500 0.000
```

---

Density functional theory data (GGA-PBE) for a geometry-optimized HoAlS structure.

## Properties
Formation energy without anion corrections: -1.0593 eV/atom
Raw total energy: -5.209 eV per atom

```
data_HoAlS
_cell_length_a 8.736
_cell_length_b 8.736
_cell_length_c 8.736
_cell_angle_alpha 29.14
_cell_angle_beta 29.14
_cell_angle_gamma 29.14
_space_group_name_H-M_alt 'P 1'
_space_group_IT_number 1
loop_
_space_group_symop_operation_xyz
'x,y,z'
loop_
_atom_site_label
_atom_site_fract_x
_atom_site_fract_y
_atom_site_fract_z
Ho1 0.092 0.092 0.092
Ho2 0.908 0.908 0.908
Al1 0.336 0.336 0.336
Al2 0.664 0.664 0.664
S1 0.207 0.207 0.207
S2 0.793 0.793 0.793
```

---

Density functional theory data (GGA-PBE) for a geometry-optimized ZnCuTe2 structure.

## Properties
Energy relative to the lowest polymorph listed for this composition: 0.201 eV per atom
Formation energy without anion corrections: -0.0236 eV/atom
Raw total energy: -2.937 eV per atom

```
data_ZnCuTe2
_cell_length_a 7.137
_cell_length_b 8.272
_cell_length_c 6.131
_cell_angle_alpha 90.00
_cell_angle_beta 90.00
_cell_angle_gamma 90.00
_space_group_name_H-M_alt 'P 1'
_space_group_IT_number 1
loop_
_space_group_symop_operation_xyz
'x,y,z'
loop_
_atom_site_label
_atom_site_fract_x
_atom_site_fract_y
_atom_site_fract_z
Zn1 0.239 0.123 0.000
Zn2 0.261 0.623 0.500
Zn3 0.739 0.377 0.000
Zn4 0.761 0.877 0.500
Cu1 0.245 0.116 0.562
Cu2 0.255 0.616 0.062
Cu3 0.745 0.384 0.562
Cu4 0.755 0.884 0.062
Te1 0.065 0.859 0.783
Te2 0.097 0.390 0.770
Te3 0.403 0.890 0.270
Te4 0.435 0.359 0.283
Te5 0.565 0.641 0.783
Te6 0.597 0.110 0.770
Te7 0.903 0.610 0.270
Te8 0.935 0.141 0.283
```

---

Density functional theory data (GGA-PBE) for a geometry-optimized Tb6SmHo2Th structure.

## Properties
Energy of formation: 0.1448 eV per atom
Raw total energy: -4.763 eV per atom

```
data_Tb6SmHo2Th
_cell_length_a 8.758
_cell_length_b 8.758
_cell_length_c 9.637
_cell_angle_alpha 94.10
_cell_angle_beta 94.10
_cell_angle_gamma 117.17
_space_group_name_H-M_alt 'P 1'
_space_group_IT_number 1
loop_
_space_group_symop_operation_xyz
'x,y,z'
loop_
_atom_site_label
_atom_site_fract_x
_atom_site_fract_y
_atom_site_fract_z
Tb1 0.022 0.572 0.184
Tb2 0.120 0.748 0.559
Tb3 0.252 0.880 0.941
Tb4 0.298 0.507 0.381
Tb5 0.428 0.978 0.316
Tb6 0.493 0.702 0.119
Tb7 0.507 0.298 0.881
Tb8 0.572 0.022 0.684
Tb9 0.702 0.493 0.619
Tb10 0.748 0.120 0.059
Tb11 0.880 0.252 0.441
Tb12 0.978 0.428 0.816
Sm1 0.024 0.976 0.250
Sm2 0.976 0.024 0.750
Ho1 0.193 0.295 0.046
Ho2 0.295 0.193 0.546
Ho3 0.705 0.807 0.454
Ho4 0.807 0.705 0.954
Th1 0.406 0.594 0.750
Th2 0.594 0.406 0.250
```

---

Density functional theory data (GGA-PBE) for a geometry-optimized HfMgBi3 structure.

## Properties
Energy relative to the lowest polymorph listed for this composition: 0.511 eV per atom
Energy of formation: 0.8494 eV per atom
Raw total energy: -3.789 eV per atom

```
data_HfMgBi3
_cell_length_a 5.400
_cell_length_b 5.400
_cell_length_c 5.400
_cell_angle_alpha 90.00
_cell_angle_beta 90.00
_cell_angle_gamma 90.00
_space_group_name_H-M_alt 'P 1'
_space_group_IT_number 1
loop_
_space_group_symop_operation_xyz
'x,y,z'
loop_
_atom_site_label
_atom_site_fract_x
_atom_site_fract_y
_atom_site_fract_z
Hf1 0.000 0.000 0.000
Mg1 0.500 0.500 0.500
Bi1 0.000 0.500 0.500
Bi2 0.500 0.000 0.500
Bi3 0.500 0.500 0.000
```

---

Density functional theory data (GGA-PBE) for a geometry-optimized InTeP structure.

## Properties
Energy relative to the lowest polymorph listed for this composition: 0.113 eV per atom
Formation energy without anion corrections: 0.1359 eV/atom
Raw total energy: -3.627 eV per atom

```
data_InTeP
_cell_length_a 4.114
_cell_length_b 4.114
_cell_length_c 5.061
_cell_angle_alpha 90.00
_cell_angle_beta 90.00
_cell_angle_gamma 120.00
_space_group_name_H-M_alt 'P 1'
_space_group_IT_number 1
loop_
_space_group_symop_operation_xyz
'x,y,z'
loop_
_atom_site_label
_atom_site_fract_x
_atom_site_fract_y
_atom_site_fract_z
In1 0.000 0.000 0.000
Te1 0.333 0.667 0.618
P1 0.667 0.333 0.263
```